Record 1
VASP calculation (PBE) on a relaxed structure of HgSbCl2.

The calculation puts the final energy at -2.459 eV per atom. As for the space-group type: Pm. For the uncorrected formation energy, the calculation gives -0.430 eV/atom.

Cell lengths 3.4484, 5.2785, 9.1490 Å; angles 90.00, 91.19, 90.00 degrees
Closest atoms and distances in Å follow each position.
Sites, in units of the cell vectors:
Hg  0.0000  0.0000  0.0000  2 Hg 3.45
Sb  0.4646  0.5000  0.4568  1 Cl 2.35
Cl  0.4781  0.5000  0.7137  1 Sb 2.35
Cl  0.4891  0.0000  0.4215  2 Sb 2.66

Record 2
VASP calculation (PBE) on a relaxed structure of Hg2SbCl.

The calculation puts the final energy at -1.665 eV per atom. As for the space-group type: P4/mmm. For the uncorrected formation energy, the calculation gives -0.022 eV/atom.

Cell lengths 5.3523, 5.3523, 3.4980 Å; angles 90.00, 90.00, 90.00 degrees
Closest atoms and distances in Å follow each position.
Sites, in units of the cell vectors:
Hg  0.0000  0.5000  0.0000  4 Cl 3.20, 4 Sb 3.20, 2 Hg 3.50
Hg  0.5000  0.0000  0.0000  4 Cl 3.20, 4 Sb 3.20, 2 Hg 3.50
Sb  0.0000  0.0000  0.5000  8 Hg 3.20, 2 Sb 3.50
Cl  0.5000  0.5000  0.5000  8 Hg 3.20, 2 Cl 3.50